Os4C3, optimized geometry, DFT GGA-PBEsol; volume = 10.42 A^3/atom; density of states at the Fermi level = 0.51 states/eV per atom; formation energy from the elements = 998 meV/atom
1.0
2.733 0.000 0.000
0.000 2.733 0.000
-1.367 -1.367 9.764
Os C
4 3
direct
0.827 0.827 0.655
0.435 0.435 0.869
0.565 0.565 0.131
0.173 0.173 0.345
0.283 0.283 0.566
0.717 0.717 0.434
0.000 0.000 0.000

---

Os3C, optimized geometry, DFT GGA-PBEsol; volume = 11.93 A^3/atom; density of states at the Fermi level = 0.48 states/eV per atom; formation energy from the elements = 303 meV/atom
1.0
2.777 0.000 0.000
-1.389 2.405 0.000
0.000 0.000 7.147
Os C
3 1
direct
0.333 0.667 0.805
0.333 0.667 0.195
0.000 0.000 0.500
0.000 0.000 0.000

---

What did the first record say?
Os4C3, optimized geometry, DFT GGA-PBEsol; volume = 10.42 A^3/atom; density of states at the Fermi level = 0.51 states/eV per atom; formation energy from the elements = 998 meV/atom
1.0
2.733 0.000 0.000
0.000 2.733 0.000
-1.367 -1.367 9.764
Os C
4 3
direct
0.827 0.827 0.655
0.435 0.435 0.869
0.565 0.565 0.131
0.173 0.173 0.345
0.283 0.283 0.566
0.717 0.717 0.434
0.000 0.000 0.000